The following is a DFT calculation (PBE) of a geometry-optimized ErLuMgRe structure.

Cell: 7.000 7.000 7.000 Å, 90.00 90.00 90.00°
Fractional coordinates of all 16 atoms:
Er 0.000 0.000 0.000
Er 0.000 0.500 0.500
Er 0.500 0.000 0.500
Er 0.500 0.500 0.000
Lu 0.000 0.000 0.500
Lu 0.000 0.500 0.000
Lu 0.500 0.000 0.000
Lu 0.500 0.500 0.500
Mg 0.250 0.250 0.750
Mg 0.250 0.750 0.250
Mg 0.750 0.250 0.250
Mg 0.750 0.750 0.750
Re 0.250 0.250 0.250
Re 0.250 0.750 0.750
Re 0.750 0.250 0.750
Re 0.750 0.750 0.250

Calculated values
- E_form: 47 meV per atom
- Calculated volume: 343.0 Å³ per cell
- Crystal system: cubic